{
  "formula": "Nd2SmEr5Th",
  "functional": "PBE",
  "state": "relaxed",
  "energy_ev_per_cell": -83.79,
  "n_ef_per_ev_cell": 21.80,
  "delta_e_f_ev_per_fu": 2.59,
  "total_magnetization_mub_per_cell": 0.00,
  "crystal_system": "tetragonal",
  "cell": [[-4.346, 4.346, 7.695], [4.346, -4.346, 7.695], [4.346, 4.346, -7.695]],
  "species": ["Nd", "Nd", "Nd", "Nd", "Sm", "Sm", "Er", "Er", "Er", "Er", "Er", "Er", "Er", "Er", "Er", "Er", "Th", "Th"],
  "frac_coords": [[0.116, 0.616, 0.733], [0.384, 0.116, 0.500], [0.616, 0.884, 0.500], [0.884, 0.384, 0.267], [0.250, 0.750, 0.500], [0.750, 0.250, 0.500], [0.000, 0.000, 0.000], [0.073, 0.148, 0.500], [0.148, 0.648, 0.074], [0.352, 0.427, 0.500], [0.427, 0.927, 0.074], [0.500, 0.500, 0.000], [0.573, 0.073, 0.926], [0.648, 0.573, 0.500], [0.852, 0.352, 0.926], [0.927, 0.852, 0.500], [0.250, 0.250, 0.000], [0.750, 0.750, 0.000]]
}

{
  "formula": "NdSmEr2Th",
  "functional": "PBE",
  "state": "relaxed",
  "energy_ev_per_cell": -24.53,
  "n_ef_per_ev_cell": 8.24,
  "delta_e_f_ev_per_fu": 1.50,
  "total_magnetization_mub_per_cell": 0.00,
  "crystal_system": "orthorhombic",
  "cell": [[3.545, 0.000, 0.000], [0.000, 5.652, 0.000], [0.000, 0.000, 8.699]],
  "species": ["Nd", "Sm", "Er", "Er", "Th"],
  "frac_coords": [[0.000, 0.000, 0.000], [0.500, 0.000, 0.500], [0.000, 0.500, 0.320], [0.000, 0.500, 0.680], [0.500, 0.500, 0.000]]
}

{
  "formula": "Nd5SmEr2Th",
  "functional": "PBE",
  "state": "relaxed",
  "energy_ev_per_cell": -87.34,
  "n_ef_per_ev_cell": 27.08,
  "delta_e_f_ev_per_fu": 1.43,
  "total_magnetization_mub_per_cell": 0.00,
  "crystal_system": "orthorhombic",
  "cell": [[2.846, -10.258, 0.000], [2.846, 10.258, 0.000], [0.000, 0.000, 10.618]],
  "species": ["Nd", "Nd", "Nd", "Nd", "Nd", "Nd", "Nd", "Nd", "Nd", "Nd", "Sm", "Sm", "Er", "Er", "Er", "Er", "Th", "Th"],
  "frac_coords": [[0.015, 0.985, 0.500], [0.277, 0.723, 0.208], [0.293, 0.707, 0.817], [0.387, 0.613, 0.494], [0.479, 0.521, 0.778], [0.521, 0.479, 0.278], [0.613, 0.387, 0.994], [0.707, 0.293, 0.317], [0.723, 0.277, 0.708], [0.985, 0.015, 0.000], [0.408, 0.592, 0.069], [0.592, 0.408, 0.569], [0.112, 0.888, 0.783], [0.116, 0.884, 0.206], [0.884, 0.116, 0.706], [0.888, 0.112, 0.283], [0.199, 0.801, 0.509], [0.801, 0.199, 0.009]]
}

{
  "formula": "NdSm2ErTh",
  "functional": "PBE",
  "state": "relaxed",
  "energy_ev_per_cell": -49.19,
  "n_ef_per_ev_cell": 13.09,
  "delta_e_f_ev_per_fu": 1.59,
  "total_magnetization_mub_per_cell": 0.00,
  "crystal_system": "monoclinic",
  "cell": [[8.619, 0.000, 0.000], [0.000, 6.437, 0.000], [-0.868, 0.000, 6.322]],
  "species": ["Nd", "Nd", "Sm", "Sm", "Sm", "Sm", "Er", "Er", "Th", "Th"],
  "frac_coords": [[0.000, 0.000, 0.000], [0.000, 0.000, 0.500], [0.315, 0.309, 0.207], [0.315, 0.691, 0.707], [0.685, 0.309, 0.293], [0.685, 0.691, 0.793], [0.500, 0.174, 0.750], [0.500, 0.826, 0.250], [0.000, 0.452, 0.750], [0.000, 0.548, 0.250]]
}